Density functional theory data (GGA+U) for a relaxed MnCuPtO4 crystal. Values from VASP.

Computed properties:
DFT total energy	-6.05	eV per atom

Cell and atoms, written as Quantum ESPRESSO input:
```
&SYSTEM
  ibrav = 0, nat = 14, ntyp = 4
/
ATOMIC_SPECIES
Mn 54.94 Mn.upf
Cu 63.55 Cu.upf
Pt 195.08 Pt.upf
O 16.00 O.upf
ATOMIC_POSITIONS crystal
Mn 0.500 0.000 0.000
Mn 0.500 0.500 0.500
Cu 0.112 0.362 0.750
Cu 0.888 0.638 0.250
Pt 0.000 0.000 0.000
Pt 0.500 0.000 0.500
O 0.264 0.245 0.482
O 0.264 0.782 0.018
O 0.275 0.241 0.034
O 0.293 0.759 0.534
O 0.707 0.241 0.466
O 0.725 0.759 0.966
O 0.736 0.218 0.982
O 0.736 0.755 0.518
CELL_PARAMETERS angstrom
-2.950 3.109 4.288
2.950 -3.109 4.288
2.950 3.109 -4.288
```